1.
VASP calculation (PBE) on Pu2Tl3CdS6 after structural relaxation.

Structure (POSCAR):
```
Pu2Tl3CdS6
1.0
-1.3579 -3.5157 -5.8426
-3.8014 -1.1370 5.7093
-3.0792 6.9084 -2.0739
Tl S Pu Cd
3 6 2 1
direct
0.5000 0.5000 0.5000
0.1648 0.8352 0.5000
0.8352 0.1648 0.5000
0.2756 0.2756 0.8038
0.0662 0.4091 0.1998
0.7244 0.7244 0.1962
0.5909 0.9338 0.8002
0.9338 0.5909 0.8002
0.4091 0.0662 0.1998
0.3331 0.6669 0.0000
0.6669 0.3331 0.0000
0.0000 0.0000 0.0000
```

- electronic total energy (eV/atom) = -6.073
- formation energy from raw total energies (meV/atom) = -953.0
- space group = C2/m, No. 12
- crystal system = monoclinic
- total magnetization (Bohr magnetons per cell) = 9.0

2.
VASP calculation (PBE) on GdSbRh2 after structural relaxation.

Structure (POSCAR):
```
GdSbRh2
1.0
-3.6808 -0.0612 -0.3065
-0.0868 -4.1275 1.8669
-0.3734 1.8674 4.1112
Sb Rh Gd
1 2 1
direct
0.5000 0.0000 0.0000
0.0000 0.5000 0.0000
0.0000 0.0000 0.5000
0.5000 0.5000 0.5000
```

- electronic total energy (eV/atom) = -8.899
- formation energy from raw total energies (meV/atom) = -672.9
- space group = P4/mmm, No. 123
- crystal system = tetragonal
- total magnetization (Bohr magnetons per cell) = 7.1

3.
VASP calculation (PBE) on HfAsPSe2 after structural relaxation.

Structure (POSCAR):
```
HfAsPSe2
1.0
5.0826 0.0000 0.0000
0.0000 5.0826 0.0000
0.0000 0.0000 5.3488
As Se Hf P
1 2 1 1
direct
0.0000 0.0000 0.5000
0.0000 0.5000 0.0000
0.5000 0.0000 0.0000
0.0000 0.0000 0.0000
0.5000 0.5000 0.5000
```

- electronic total energy (eV/atom) = -5.049
- offset from the most stable computed form (eV per formula unit) = 0.05
- formation energy from raw total energies (meV/atom) = 347.0
- space group = P4/mmm, No. 123
- crystal system = tetragonal
- total magnetization (Bohr magnetons per cell) = 1.4

4.
VASP calculation (PBE) on Zr2ZnRe after structural relaxation.

Structure (POSCAR):
```
Zr2ZnRe
1.0
10.2892 -0.0191 -0.0112
9.8833 2.8617 -0.0112
9.8833 1.3927 2.4999
Zr Re Zn
2 1 1
direct
0.0069 0.0069 0.0069
0.2439 0.2439 0.2439
0.4937 0.4937 0.4937
0.7555 0.7555 0.7555
```

- electronic total energy (eV/atom) = -7.459
- formation enthalpy at 0 K (eV per atom) = 0.2457
- space group = R3m, No. 160
- crystal system = trigonal
- total magnetization (Bohr magnetons per cell) = 0.0

5.
VASP calculation (PBE) on CaIr2Se after structural relaxation.

Structure (POSCAR):
```
CaIr2Se
1.0
2.9085 0.0211 0.0000
-1.2815 2.6111 0.0000
0.0000 0.0000 9.2095
Se Ca Ir
1 1 2
direct
0.5000 0.5000 0.2500
0.5000 0.5000 0.7500
0.0000 0.0000 0.0082
0.0000 0.0000 0.4918
```

- electronic total energy (eV/atom) = -5.341
- offset from the most stable computed form (eV per formula unit) = 2.81
- formation energy from raw total energies (meV/atom) = 461.2
- space group = Cmmm, No. 65
- crystal system = orthorhombic
- total magnetization (Bohr magnetons per cell) = 0.0

6.
VASP calculation (PBE) on Sr2Sc2Be after structural relaxation.

Structure (POSCAR):
```
Sr2Sc2Be
1.0
-0.6276 2.3050 -3.5749
-3.3621 -2.4824 -1.0103
-7.1324 5.1323 1.9756
Sr Be Sc
2 1 2
direct
0.7500 0.2500 0.5000
0.2500 0.7500 0.5000
0.0000 0.0000 0.0000
0.5789 0.5789 0.8422
0.4211 0.4211 0.1578
```

- electronic total energy (eV/atom) = -2.855
- formation enthalpy at 0 K (eV per atom) = 1.0954
- offset from the most stable computed form (eV per formula unit) = 3.10
- space group = I4/mmm, No. 139
- crystal system = tetragonal
- total magnetization (Bohr magnetons per cell) = 0.0

7.
VASP calculation (PBE) on BaSi2Hg after structural relaxation.

Structure (POSCAR):
```
BaSi2Hg
1.0
5.2776 -0.1664 0.0000
0.1116 5.2790 0.0000
-2.6946 -2.5563 3.7530
Hg Si Ba
1 2 1
direct
0.7500 0.2500 0.5000
0.2500 0.7500 0.5000
0.0000 0.0000 0.0000
0.5000 0.5000 0.0000
```

- electronic total energy (eV/atom) = -3.019
- formation energy from raw total energies (meV/atom) = 248.7
- space group = I-4m2, No. 119
- crystal system = tetragonal
- total magnetization (Bohr magnetons per cell) = 0.0

8.
VASP calculation (PBE) on DyY9Tm4 after structural relaxation.

Structure (POSCAR):
```
DyY9Tm4
1.0
11.2499 0.0000 0.0000
0.0000 8.3772 -4.8366
0.0000 0.0000 9.6732
Dy Y Tm
2 18 8
direct
0.7500 0.3333 0.6667
0.2500 0.6667 0.3333
0.2500 0.4595 0.5405
0.9743 0.2088 0.4176
0.7500 0.5405 0.0809
0.9743 0.2088 0.7912
0.5257 0.2088 0.4176
0.0257 0.7912 0.5824
0.7500 0.9191 0.4595
0.0257 0.4176 0.2088
0.4743 0.7912 0.5824
0.5257 0.5824 0.7912
0.7500 0.5405 0.4595
0.4743 0.7912 0.2088
0.2500 0.4595 0.9191
0.9743 0.5824 0.7912
0.2500 0.0809 0.5405
0.5257 0.2088 0.7912
0.0257 0.7912 0.2088
0.4743 0.4176 0.2088
0.7500 0.8900 0.7801
0.2500 0.1100 0.8900
0.7500 0.8900 0.1100
0.2500 0.7801 0.8900
0.5000 0.0000 0.0000
0.0000 0.0000 0.0000
0.2500 0.1100 0.2199
0.7500 0.2199 0.1100
```

- electronic total energy (eV/atom) = -5.596
- formation enthalpy at 0 K (eV per atom) = 0.1654
- space group = P6_3/mmc, No. 194
- crystal system = hexagonal
- total magnetization (Bohr magnetons per cell) = 0.0

9.
VASP calculation (PBE) on TcOs2I after structural relaxation.

Structure (POSCAR):
```
TcOs2I
1.0
5.9790 0.0000 0.0000
0.0000 5.9790 0.0000
2.9895 2.9895 5.3290
Tc Os I
2 4 2
direct
0.2500 0.7500 0.5000
0.5000 0.5000 0.0000
0.1564 0.6250 0.2500
0.8750 0.8436 0.7500
0.5936 0.1250 0.2500
0.3750 0.4064 0.7500
0.7500 0.2500 0.5000
0.0000 0.0000 0.0000
```

- electronic total energy (eV/atom) = -7.165
- offset from the most stable computed form (eV per formula unit) = 0.00
- formation energy from raw total energies (meV/atom) = 1429.1
- space group = I-42d, No. 122
- crystal system = tetragonal
- total magnetization (Bohr magnetons per cell) = 0.0

10.
VASP calculation (PBE) on RbAg4Hg3Cl12 after structural relaxation.

Structure (POSCAR):
```
RbAg4Hg3Cl12
1.0
9.0223 -0.2310 -0.3209
-2.3981 8.7008 -0.3209
-2.3981 -3.0662 8.1490
Hg Cl Ag Rb
3 12 4 1
direct
0.4216 0.0000 0.5784
0.0000 0.5784 0.4216
0.5784 0.4216 0.0000
0.9178 0.5000 0.0822
0.0822 0.9178 0.5000
0.6522 0.7396 0.0106
0.6709 0.5000 0.3291
0.3478 0.9894 0.2604
0.9894 0.2604 0.3478
0.5000 0.3291 0.6709
0.3291 0.6709 0.5000
0.5000 0.0822 0.9178
0.0106 0.6522 0.7396
0.7396 0.0106 0.6522
0.2604 0.3478 0.9894
0.1006 0.5000 0.8994
0.5000 0.5000 0.5000
0.5000 0.8994 0.1006
0.8994 0.1006 0.5000
0.0000 0.0000 0.0000
```

- electronic total energy (eV/atom) = -2.369
- formation energy from raw total energies (meV/atom) = -597.4
- space group = R32, No. 155
- crystal system = trigonal
- total magnetization (Bohr magnetons per cell) = 0.0

11.
VASP calculation (PBE) on ZrAlCu2 after structural relaxation.

Structure (POSCAR):
```
ZrAlCu2
1.0
2.8499 0.0001 0.0000
-1.4259 2.4676 0.0000
0.0000 0.0000 8.9125
Cu Zr Al
2 1 1
direct
0.3333 0.6667 0.2264
0.3333 0.6667 0.7736
0.0001 0.9999 0.5000
0.0000 0.0000 0.0000
```

- electronic total energy (eV/atom) = -5.111
- formation enthalpy at 0 K (eV per atom) = 0.0101
- space group = P-6m2, No. 187
- crystal system = hexagonal
- total magnetization (Bohr magnetons per cell) = 0.0

12.
VASP calculation (PBE) on P3Pt12RhPb2 after structural relaxation.

Structure (POSCAR):
```
P3Pt12RhPb2
1.0
7.6297 -0.2429 -0.1723
3.5568 6.7543 -0.1723
3.5568 2.0703 6.4315
P Rh Pt Pb
3 1 12 2
direct
0.0000 0.5000 0.0000
0.5000 0.0000 0.0000
0.0000 0.0000 0.5000
0.0000 0.0000 0.0000
0.8672 0.3855 0.8672
0.6419 0.6419 0.1094
0.3855 0.8672 0.8672
0.1094 0.6419 0.6419
0.6145 0.1328 0.1328
0.8906 0.3581 0.3581
0.1328 0.6145 0.1328
0.3581 0.3581 0.8906
0.6419 0.1094 0.6419
0.8672 0.8672 0.3855
0.1328 0.1328 0.6145
0.3581 0.8906 0.3581
0.6125 0.6125 0.6125
0.3875 0.3875 0.3875
```

- electronic total energy (eV/atom) = -5.841
- formation enthalpy at 0 K (eV per atom) = -0.0919
- space group = R-3m, No. 166
- crystal system = trigonal
- total magnetization (Bohr magnetons per cell) = 0.0

Question: Look up the total magnetization of the sixth one.
Answer: 0.0 Bohr magnetons per cell

Question: What is the electronic total energy in the fourth record?
Answer: -7.459 eV/atom